Here is a relaxed structure of ReAsSe2N from Alexandria. Energies are from PBE.

Output
- SG = No. 123
- offset from the most stable computed form (meV/atom) = 1197
- total magnetization (Bohr magnetons per cell) = 0.0
- energy (eV/atom) = -4.82

Cell: 4.761 4.761 4.875 Å, 90.00 90.00 90.00°
Fractional coordinates of all 5 atoms:
Se 0.000 0.500 0.000
Re 0.000 0.000 0.000
As 0.000 0.000 0.500
N 0.500 0.500 0.500
Se 0.500 0.000 0.000